Record 1
# BeNi2As

A relaxed BeNi2As crystal (PBE, the Alexandria database).

Cell and atoms, written as CIF:
```
data_BeNi2As
_cell_length_a 4.463
_cell_length_b 4.463
_cell_length_c 4.463
_cell_angle_alpha 134.59
_cell_angle_beta 134.60
_cell_angle_gamma 66.16
_space_group_name_H-M_alt 'P 1'
_space_group_IT_number 1
_space_group_name_Hall 'P 1'
loop_
_atom_site_label
_atom_site_type_symbol
_atom_site_fract_x
_atom_site_fract_y
_atom_site_fract_z
_atom_site_occupancy
Be1 Be 0.250 0.750 0.500 1
Ni1 Ni 0.750 0.250 0.500 1
Ni2 Ni 0.000 0.000 0.000 1
As1 As 0.500 0.500 0.000 1
```

## Properties
The space group is I-4m2. The calculation puts the calculated density at 7.53 g cm⁻³. The calculation puts the total moment at 0.000 μB/atom. The formation energy comes out at -184 meV/atom. The value obtained for the density of states at the Fermi level is 0.2938 states/eV per atom.

=====

Record 2
# Mg5Zn2Cd5

A relaxed Mg5Zn2Cd5 crystal (PBE, the Alexandria database).

Cell and atoms, written as CIF:
```
data_Mg5Zn2Cd5
_cell_length_a 4.563
_cell_length_b 8.085
_cell_length_c 7.673
_cell_angle_alpha 94.96
_cell_angle_beta 72.70
_cell_angle_gamma 73.61
_space_group_name_H-M_alt 'P 1'
_space_group_IT_number 1
_space_group_name_Hall 'P 1'
loop_
_atom_site_label
_atom_site_type_symbol
_atom_site_fract_x
_atom_site_fract_y
_atom_site_fract_z
_atom_site_occupancy
Cd1 Cd 0.934 0.304 0.829 1
Cd2 Cd 0.695 0.230 0.381 1
Cd3 Cd 0.000 0.000 0.000 1
Cd4 Cd 0.066 0.696 0.171 1
Cd5 Cd 0.305 0.770 0.619 1
Zn1 Zn 0.395 0.460 0.750 1
Zn2 Zn 0.605 0.540 0.250 1
Mg1 Mg 0.000 0.500 0.500 1
Mg2 Mg 0.694 0.710 0.902 1
Mg3 Mg 0.306 0.290 0.098 1
Mg4 Mg 0.360 0.966 0.314 1
Mg5 Mg 0.640 0.034 0.686 1
```

## Properties
The space group is C2/m. The calculation puts the calculated density at 5.31 g cm⁻³. The calculation puts the total moment at 0.000 μB/atom. The formation energy comes out at -47 meV/atom. The value obtained for the density of states at the Fermi level is 0.3348 states/eV per atom.

=====

Q: Look up the density of states at the Fermi level of the first one.
A: 0.2938 states/eV per atom